VASP calculation (GGA-PBE) on Li2InAg2Sn after structural relaxation.

Calculated values
Raw total energy, eV per atom: -2.94

Cell lengths 4.787, 4.787, 6.000 Å; angles 90.00, 90.00, 120.00 degrees
Positions (direct):
Li: 0.000 0.000 0.249
Li: 0.000 0.000 0.751
In: 0.333 0.667 0.500
Ag: 0.333 0.667 0.000
Ag: 0.667 0.333 0.500
Sn: 0.667 0.333 0.000

***

VASP calculation (GGA-PBE) on LiIn2AgTe4 after structural relaxation.

Calculated values
Raw total energy, eV per atom: -3.31

Cell lengths 6.545, 6.545, 12.852 Å; angles 90.00, 90.00, 90.00 degrees
Positions (direct):
Li: 0.000 0.000 0.000
Li: 0.500 0.500 0.500
In: 0.000 0.000 0.500
In: 0.000 0.500 0.750
In: 0.500 0.000 0.250
In: 0.500 0.500 0.000
Ag: 0.000 0.500 0.250
Ag: 0.500 0.000 0.750
Te: 0.244 0.247 0.124
Te: 0.247 0.756 0.876
Te: 0.253 0.744 0.376
Te: 0.256 0.253 0.624
Te: 0.744 0.747 0.624
Te: 0.747 0.256 0.376
Te: 0.753 0.244 0.876
Te: 0.756 0.753 0.124

***

VASP calculation (GGA-PBE) on LiTmInAg after structural relaxation.

Calculated values
Spin magnetization, μB/f.u.: 0.00
Raw total energy, eV per atom: -3.36

Cell lengths 6.835, 6.835, 6.835 Å; angles 90.00, 90.00, 90.00 degrees
Positions (direct):
Li: 0.000 0.000 0.000
Li: 0.000 0.500 0.500
Li: 0.500 0.000 0.500
Li: 0.500 0.500 0.000
Tm: 0.250 0.250 0.750
Tm: 0.250 0.750 0.250
Tm: 0.750 0.250 0.250
Tm: 0.750 0.750 0.750
In: 0.250 0.250 0.250
In: 0.250 0.750 0.750
In: 0.750 0.250 0.750
In: 0.750 0.750 0.250
Ag: 0.000 0.000 0.500
Ag: 0.000 0.500 0.000
Ag: 0.500 0.000 0.000
Ag: 0.500 0.500 0.500

***

Please write out number 3 again, unchanged.
VASP calculation (GGA-PBE) on LiTmInAg after structural relaxation.

Calculated values
Spin magnetization, μB/f.u.: 0.00
Raw total energy, eV per atom: -3.36

Cell lengths 6.835, 6.835, 6.835 Å; angles 90.00, 90.00, 90.00 degrees
Positions (direct):
Li: 0.000 0.000 0.000
Li: 0.000 0.500 0.500
Li: 0.500 0.000 0.500
Li: 0.500 0.500 0.000
Tm: 0.250 0.250 0.750
Tm: 0.250 0.750 0.250
Tm: 0.750 0.250 0.250
Tm: 0.750 0.750 0.750
In: 0.250 0.250 0.250
In: 0.250 0.750 0.750
In: 0.750 0.250 0.750
In: 0.750 0.750 0.250
Ag: 0.000 0.000 0.500
Ag: 0.000 0.500 0.000
Ag: 0.500 0.000 0.000
Ag: 0.500 0.500 0.500